Material: Ba3CoC3N3
Method: DFT, meta-GGA SCAN
State: single point on PBEsol structure

Cell and atoms, written as POSCAR:
```
Ba3CoC3N3
1.0
9.0270 0.0000 0.0000
-4.5135 7.8176 0.0000
0.0000 0.0000 5.7336
Ba Co C N
6 2 6 6
Cartesian
-2.4961 5.3902 1.4334
1.0935 2.9608 1.4334
3.1109 0.5334 4.3002
1.4026 7.2842 1.4334
3.4200 4.8568 4.3002
7.0096 2.4274 4.3002
0.0000 5.2117 4.3002
4.5135 2.6059 1.4334
-1.7332 5.4309 4.3002
0.6768 3.6012 4.3002
3.4571 1.2144 1.4334
1.0564 6.6032 4.3002
3.8367 4.2165 1.4334
6.2467 2.3867 1.4334
-2.9653 5.5937 4.3002
1.1518 2.4528 4.3002
2.7001 0.2289 1.4334
1.8134 7.5887 4.3002
3.3617 5.3649 1.4334
7.4788 2.2239 1.4334
```

Computed properties:
The size of the total moment is 0.000 μB per cell. The calculation puts the raw formation energy at -68.5 kJ/mol of atoms. For the total energy, the calculation gives -20.122 eV/atom.

Material: BaLiCr2C
Method: DFT, meta-GGA SCAN
State: single point on PBEsol structure

Cell and atoms, written as POSCAR:
```
BaLiCr2C
1.0
5.9262 0.0000 0.0000
0.0000 5.9262 0.0000
0.0000 0.0000 4.7354
Ba Li Cr C
1 1 2 1
Cartesian
0.0000 0.0000 0.0000
2.9631 2.9631 2.3677
0.0000 2.9631 0.0000
2.9631 0.0000 0.0000
0.0000 0.0000 2.3677
```

Computed properties:
The size of the total moment is 9.836 μB per cell. The density of states at the Fermi level is 0.3373 states/eV per atom. For the total energy, the calculation gives -15.721 eV/atom.